(1)
The following is a PBE calculation of an optimized crystal structure of TiSb2Mo, from Alexandria via LeMat-Bulk.

a = 4.213 Å, b = 4.213 Å, c = 19.261 Å
α = 90.00°, β = 90.00°, γ = 90.00°
Space group I-42d (No. 122)
Asymmetric unit:
Ti 0.000 0.000 0.000 [4 per cell]
Sb 0.247 0.250 0.625 [8 per cell]
Mo 0.000 0.000 0.500 [4 per cell]

Values from the calculation:
Excess energy over the best structure of this formula in the dataset, eV per atom: 0.4089
Calculated volume, Å³ per atom: 21.363
Final energy, eV/atom: -6.360
ρ, g/cm3: 7.5
Fermi-level density of states, states/eV per cell: 13.0
E_form (uncorrected), meV per atom: 383
Magnetization, μB per formula unit: 0.0

---

(2)
The following is a PBE calculation of an optimized crystal structure of CdCu2Pb, from Alexandria via LeMat-Bulk.

a = 7.861 Å, b = 4.548 Å, c = 5.304 Å
α = 90.00°, β = 123.31°, γ = 90.00°
Space group C2/m (No. 12)
Asymmetric unit:
Cd 0.000 0.000 0.000 [2 per cell]
Cu 0.212 0.500 0.133 [4 per cell]
Pb 0.000 0.500 0.500 [2 per cell]

Values from the calculation:
Excess energy over the best structure of this formula in the dataset, eV per atom: 0.0707
Calculated volume, Å³ per atom: 19.807
Final energy, eV/atom: -2.982
ρ, g/cm3: 9.4
Fermi-level density of states, states/eV per cell: 3.6
Magnetization, μB per formula unit: 0.0

---

(3)
The following is a PBE calculation of an optimized crystal structure of TcW2Br, from Alexandria via LeMat-Bulk.

a = 3.059 Å, b = 4.834 Å, c = 9.226 Å
α = 90.00°, β = 90.00°, γ = 90.00°
Space group Cmmm (No. 65)
Asymmetric unit:
Tc 0.000 0.000 0.000 [2 per cell]
W 0.000 0.500 0.232 [4 per cell]
Br 0.000 0.000 0.500 [2 per cell]

Values from the calculation:
Excess energy over the best structure of this formula in the dataset, eV per atom: 0.2834
Calculated volume, Å³ per atom: 17.053
Final energy, eV/atom: -8.683
ρ, g/cm3: 13.3
Fermi-level density of states, states/eV per cell: 5.6
E_form (uncorrected), meV per atom: 803
Magnetization, μB per formula unit: 0.0

---

(4)
The following is a PBE calculation of an optimized crystal structure of CoSiTe2I, from Alexandria via LeMat-Bulk.

a = 6.003 Å, b = 6.003 Å, c = 4.610 Å
α = 90.00°, β = 90.00°, γ = 90.00°
Space group P4/mmm (No. 123)
Asymmetric unit:
Co 0.000 0.000 0.000 [1 per cell]
Si 0.500 0.500 0.000 [1 per cell]
Te 0.000 0.500 0.500 [2 per cell]
I 0.000 0.000 0.500 [1 per cell]

Values from the calculation:
Excess energy over the best structure of this formula in the dataset, eV per atom: 0.6993
Calculated volume, Å³ per atom: 33.228
Final energy, eV/atom: -2.728
ρ, g/cm3: 4.7
Fermi-level density of states, states/eV per cell: 5.0
E_form (uncorrected), meV per atom: 1345
Magnetization, μB per formula unit: 1.5

---

(5)
The following is a PBE calculation of an optimized crystal structure of ScTc2Sb, from Alexandria via LeMat-Bulk.

a = 3.078 Å, b = 4.158 Å, c = 5.459 Å
α = 90.00°, β = 90.00°, γ = 90.00°
Space group Pmm2 (No. 25)
Asymmetric unit:
Sc 0.000 0.000 0.000 [1 per cell]
Tc 0.000 0.000 0.466 [1 per cell]
Tc 0.500 0.500 0.244 [1 per cell]
Sb 0.500 0.500 0.726 [1 per cell]

Values from the calculation:
Calculated volume, Å³ per atom: 17.467
Final energy, eV/atom: -7.874
ρ, g/cm3: 8.6
Fermi-level density of states, states/eV per cell: 3.5
E_form (uncorrected), meV per atom: -78
Magnetization, μB per formula unit: 0.0

---

(6)
The following is a PBE calculation of an optimized crystal structure of MgIrRh6, from Alexandria via LeMat-Bulk.

a = 3.859 Å, b = 3.859 Å, c = 7.766 Å
α = 90.00°, β = 90.00°, γ = 90.00°
Space group P4/mmm (No. 123)
Asymmetric unit:
Mg 0.000 0.000 0.000 [1 per cell]
Ir 0.000 0.000 0.500 [1 per cell]
Rh 0.000 0.500 0.258 [4 per cell]
Rh 0.500 0.500 0.000 [1 per cell]
Rh 0.500 0.500 0.500 [1 per cell]

Values from the calculation:
Calculated volume, Å³ per atom: 14.454
Final energy, eV/atom: -6.949
ρ, g/cm3: 12.0
Fermi-level density of states, states/eV per cell: 8.4
Magnetization, μB per formula unit: 0.0

---

(7)
The following is a PBE calculation of an optimized crystal structure of Na4HgBi3S8, from Alexandria via LeMat-Bulk.

a = 14.021 Å, b = 8.001 Å, c = 8.233 Å
α = 90.00°, β = 124.23°, γ = 90.00°
Space group C2/m (No. 12)
Asymmetric unit:
Na 0.000 0.000 0.000 [2 per cell]
Na 0.000 0.500 0.000 [2 per cell]
Na 0.250 0.250 0.000 [4 per cell]
Hg 0.000 0.000 0.500 [2 per cell]
Bi 0.000 0.500 0.500 [2 per cell]
Bi 0.250 0.250 0.500 [4 per cell]
S 0.005 0.242 0.270 [8 per cell]
S 0.246 0.500 0.257 [4 per cell]
S 0.246 0.500 0.740 [4 per cell]

Values from the calculation:
Calculated volume, Å³ per atom: 23.864
Final energy, eV/atom: -3.760
ρ, g/cm3: 5.1
Fermi-level density of states, states/eV per cell: 29.3
E_form (uncorrected), meV per atom: -620
Magnetization, μB per formula unit: 0.0

---

(8)
The following is a PBE calculation of an optimized crystal structure of Tb2Pm3Si4, from Alexandria via LeMat-Bulk.

a = 7.738 Å, b = 7.799 Å, c = 7.698 Å
α = 90.00°, β = 104.60°, γ = 90.00°
Space group P2_1/c (No. 14)
Asymmetric unit:
Tb 0.209 0.189 0.105 [4 per cell]
Pm 0.238 0.683 0.255 [4 per cell]
Pm 0.500 0.000 0.500 [2 per cell]
Si 0.087 0.522 0.891 [4 per cell]
Si 0.491 0.116 0.884 [4 per cell]

Values from the calculation:
Calculated volume, Å³ per atom: 24.976
Final energy, eV/atom: -5.702
ρ, g/cm3: 6.4
Fermi-level density of states, states/eV per cell: 18.1
E_form (uncorrected), meV per atom: -679
Magnetization, μB per formula unit: 0.0

---

(9)
The following is a PBE calculation of an optimized crystal structure of TcHSeN2, from Alexandria via LeMat-Bulk.

a = 3.754 Å, b = 3.754 Å, c = 5.272 Å
α = 90.00°, β = 90.00°, γ = 90.00°
Space group P4/mmm (No. 123)
Asymmetric unit:
Tc 0.000 0.000 0.000 [1 per cell]
H 0.500 0.500 0.500 [1 per cell]
Se 0.000 0.000 0.500 [1 per cell]
N 0.000 0.500 0.000 [2 per cell]

Values from the calculation:
Excess energy over the best structure of this formula in the dataset, eV per atom: 0.0000
Calculated volume, Å³ per atom: 14.857
Final energy, eV/atom: -5.819
ρ, g/cm3: 4.6
Fermi-level density of states, states/eV per cell: 1.8
Magnetization, μB per formula unit: 0.0

---

(10)
The following is a PBE calculation of an optimized crystal structure of Tb2PuP3, from Alexandria via LeMat-Bulk.

a = 4.016 Å, b = 4.016 Å, c = 17.013 Å
α = 90.00°, β = 90.00°, γ = 90.00°
Space group I4/mmm (No. 139)
Asymmetric unit:
Tb 0.000 0.000 0.168 [4 per cell]
Pu 0.000 0.000 0.500 [2 per cell]
P 0.000 0.000 0.000 [2 per cell]
P 0.000 0.000 0.335 [4 per cell]

Values from the calculation:
Calculated volume, Å³ per atom: 22.860
Final energy, eV/atom: -8.087
ρ, g/cm3: 7.9
Fermi-level density of states, states/eV per cell: 20.7
Magnetization, μB per formula unit: 4.9